# LaPm2DyY6

A geometry-optimized LaPm2DyY6 structure (PBE, Alexandria).

Cell: 8.855 8.855 9.750 Å, 94.23 94.23 117.66°
Fractional positions:
La: 0.022 0.978 0.750
La: 0.978 0.022 0.250
Pm: 0.194 0.296 0.547
Pm: 0.296 0.194 0.047
Pm: 0.704 0.806 0.953
Pm: 0.806 0.704 0.453
Dy: 0.409 0.591 0.250
Dy: 0.591 0.409 0.750
Y: 0.017 0.567 0.684
Y: 0.122 0.743 0.058
Y: 0.257 0.878 0.442
Y: 0.297 0.510 0.884
Y: 0.433 0.983 0.816
Y: 0.490 0.703 0.616
Y: 0.510 0.297 0.384
Y: 0.567 0.017 0.184
Y: 0.703 0.490 0.116
Y: 0.743 0.122 0.558
Y: 0.878 0.257 0.942
Y: 0.983 0.433 0.316

Calculated values
electronic total energy: -5.668 eV/atom
mass density: 5574 kg/m³
DOS(E_F): 31.63 states/eV per cell
energy of formation: 0.114 eV per atom